[1]
Material: TaGeO3
Method: DFT, GGA-PBE
State: optimized geometry

Values from the calculation:
calculated total energy: -8.09 eV/atom
total magnetic moment: 0.0 Bohr magnetons per cell

```
5
Lattice="4.053 0.000 0.000 0.000 4.053 0.000 0.000 0.000 3.960" Properties=species:S:1:pos:R:3 pbc="T T T"
O 2.026 0.000 2.508
O 0.000 2.026 2.508
O 2.026 2.026 0.434
Ta 2.026 2.026 2.367
Ge 0.000 0.000 3.668
```

***

[2]
Material: Tb2GeO4
Method: DFT, GGA-PBE
State: optimized geometry

Values from the calculation:
calculated total energy: -7.46 eV/atom
total magnetic moment: 0.0 Bohr magnetons per cell

```
14
Lattice="-0.130 6.468 -2.023 5.285 -2.337 3.544 -0.949 -2.022 -6.400" Properties=species:S:1:pos:R:3 pbc="T T T"
O 1.034 -0.582 -1.925
O 3.008 -2.566 -3.225
O 2.949 0.379 -4.147
O 3.636 1.385 -0.977
O 0.757 2.657 -2.906
O 0.602 -1.502 -4.839
O 0.324 1.737 -5.821
O 3.695 -1.560 -0.055
Ge 0.000 0.000 0.000
Ge 2.308 3.177 -1.346
Tb 3.796 0.420 1.099
Tb 3.322 -0.591 -2.101
Tb 0.679 0.578 -3.873
Tb 0.614 3.812 -4.884
```

***

[3]
Material: Tb3GeO
Method: DFT, GGA-PBE
State: optimized geometry

Values from the calculation:
calculated total energy: -6.21 eV/atom
total magnetic moment: 2.6 Bohr magnetons per cell

```
20
Lattice="7.270 0.000 0.000 0.000 9.273 0.000 0.000 0.000 6.257" Properties=species:S:1:pos:R:3 pbc="T T T"
Tb 5.851 8.827 2.094
Tb 2.216 8.827 1.034
Tb 1.419 4.190 4.162
Tb 5.054 0.446 5.223
Tb 7.074 6.955 5.564
Tb 5.851 5.083 2.094
Tb 3.831 2.318 2.435
Tb 1.419 0.446 4.162
Tb 3.439 6.955 3.822
Tb 0.196 2.318 0.693
Tb 5.054 4.190 5.223
Tb 2.216 5.083 1.034
Ge 0.764 6.955 2.764
Ge 2.871 2.318 5.892
Ge 4.399 6.955 0.365
Ge 6.506 2.318 3.493
O 3.635 0.000 3.128
O 0.000 4.637 0.000
O 3.635 4.637 3.128
O 0.000 0.000 0.000
```

***

[4]
Material: Tc2GeO4
Method: DFT, GGA-PBE
State: optimized geometry

Values from the calculation:
calculated total energy: -7.31 eV/atom
total magnetic moment: 8.0 Bohr magnetons per cell

```
14
Lattice="4.433 -4.435 0.000 -4.433 0.000 -4.435 4.433 4.435 0.000" Properties=species:S:1:pos:R:3 pbc="T T T"
Tc -1.108 -1.109 -3.326
Tc 5.542 -1.109 -1.109
Tc 3.325 1.109 -1.109
Tc 1.108 1.109 -3.326
Ge 2.217 -2.218 -2.218
Ge 0.000 0.000 0.000
O 3.217 3.218 -1.217
O 3.217 1.217 -3.218
O 1.001 -1.001 -3.434
O -1.001 1.001 -3.434
O 1.216 3.218 -3.218
O 5.434 1.001 -1.001
O 1.216 1.217 -1.217
O 3.433 -1.001 -1.001
```

***

[5]
Material: Tc2Ge2O5
Method: DFT, GGA-PBE
State: optimized geometry

Values from the calculation:
calculated total energy: -6.76 eV/atom
distance to the lowest polymorph of the same formula: 0.0 meV per atom
total magnetic moment: 0.0 Bohr magnetons per cell

```
9
Lattice="7.281 0.000 0.000 0.000 3.864 0.000 0.000 0.000 3.864" Properties=species:S:1:pos:R:3 pbc="T T T"
O 1.590 1.932 0.000
O 5.691 1.932 0.000
O 3.640 1.932 1.932
O 5.691 0.000 1.932
O 1.590 0.000 1.932
Tc 5.777 1.932 1.932
Tc 1.504 1.932 1.932
Ge 3.640 0.000 0.000
Ge 0.000 0.000 0.000
```

***

[6]
Material: Tc2Ge2O5
Method: DFT, GGA-PBE
State: optimized geometry

Values from the calculation:
calculated total energy: -6.47 eV/atom
distance to the lowest polymorph of the same formula: 287.5 meV per atom
total magnetic moment: 4.0 Bohr magnetons per cell

```
9
Lattice="-1.392 -5.960 0.419 3.865 -0.897 0.074 -0.010 0.281 3.959" Properties=species:S:1:pos:R:3 pbc="T T T"
O 0.827 -5.184 0.370
O 1.232 -3.288 2.226
O 1.647 -1.674 0.123
O -1.111 -4.595 2.313
O -0.291 -1.084 2.066
Ge 0.813 -5.080 2.352
Ge 1.650 -1.497 2.100
Tc -0.696 -2.980 0.210
Tc 0.000 0.000 0.000
```

***

[7]
Material: ZnGeTeO
Method: DFT, GGA-PBE
State: optimized geometry

Values from the calculation:
calculated total energy: -4.06 eV/atom
distance to the lowest polymorph of the same formula: 110.6 meV per atom

```
32
Lattice="-6.409 -0.003 -1.508 0.814 -7.381 -3.448 -2.496 -5.234 10.616" Properties=species:S:1:pos:R:3 pbc="T T T"
Te -1.109 -7.107 -3.142
Te -2.755 -3.365 5.207
Te -6.879 -9.202 7.007
Te -6.982 -5.511 8.802
Te -2.652 -7.056 3.411
Te -5.439 -5.562 2.248
Te -1.212 -3.416 -1.347
Te -5.337 -9.252 0.453
O -6.874 -9.764 3.573
O -5.454 -6.073 5.727
O -3.791 -10.016 4.841
O -2.637 -6.545 -0.067
O -1.217 -2.853 2.087
O -5.721 -6.292 -1.336
O -2.371 -6.325 6.995
O -4.300 -2.601 0.818
Zn -6.694 -7.992 2.503
Zn -2.951 -8.317 0.971
Zn -2.776 -6.061 9.016
Zn -4.329 -9.752 6.830
Zn -3.762 -2.865 -1.171
Zn -5.140 -4.300 4.689
Zn -5.315 -6.557 -3.356
Zn -1.397 -4.626 3.156
Ge -1.074 -5.506 0.601
Ge -2.914 -1.816 1.987
Ge -6.075 -1.725 1.045
Ge -7.017 -7.112 5.059
Ge -3.857 -7.203 6.001
Ge -4.234 -5.415 -0.341
Ge -2.016 -10.893 4.614
Ge -5.177 -10.802 3.673
```

***

[8]
Material: ZnGeTeO
Method: DFT, GGA-PBE
State: optimized geometry

Values from the calculation:
calculated total energy: -4.12 eV/atom
distance to the lowest polymorph of the same formula: 44.5 meV per atom

```
32
Lattice="6.507 0.000 0.000 0.000 12.179 0.000 0.000 0.000 8.591" Properties=species:S:1:pos:R:3 pbc="T T T"
Te 3.639 11.559 2.877
Te 3.639 6.709 7.173
Te 6.122 0.620 7.173
Te 2.868 0.620 5.714
Te 0.385 11.559 1.418
Te 2.868 5.469 1.418
Te 6.122 5.469 2.877
Te 0.385 6.709 5.714
Zn 3.584 10.486 7.044
Zn 0.330 7.782 1.547
Zn 6.177 1.693 2.749
Zn 0.330 10.486 5.843
Zn 3.584 7.782 2.749
Zn 2.923 4.396 5.843
Zn 6.177 4.396 7.044
Zn 2.923 1.693 1.547
Ge 4.620 10.220 0.789
Ge 1.366 8.048 7.803
Ge 1.887 1.958 7.803
Ge 5.141 1.958 5.084
Ge 5.141 4.131 0.789
Ge 1.887 4.131 3.507
Ge 4.620 8.048 5.084
Ge 1.366 10.220 3.507
O 5.001 8.608 1.587
O 4.759 3.571 5.882
O 4.759 2.519 1.587
O 1.748 8.608 2.709
O 1.505 3.571 7.005
O 1.748 9.660 7.005
O 5.001 9.660 5.882
O 1.505 2.519 2.709
```

***

[9]
Material: ZnGeTeO
Method: DFT, GGA-PBE
State: optimized geometry

Values from the calculation:
calculated total energy: -4.17 eV/atom
distance to the lowest polymorph of the same formula: 0.0 meV per atom

```
16
Lattice="-0.782 -2.610 -5.360 6.484 -6.002 1.977 -4.021 -3.577 2.329" Properties=species:S:1:pos:R:3 pbc="T T T"
Te -1.037 -6.714 -3.193
Te 3.897 -4.427 1.457
Te 1.526 -7.419 0.149
Te 1.334 -3.721 -1.886
O 5.071 -7.448 -1.085
O -2.250 -3.727 -0.629
O 2.809 -10.077 -1.647
O 0.012 -1.098 -0.067
Zn 3.748 -8.816 -0.341
Zn 1.512 -11.356 -0.719
Zn -3.721 -4.844 0.246
Zn -1.486 -2.305 0.623
Ge 1.655 -2.248 0.627
Ge -0.693 -5.166 -0.528
Ge 3.720 -5.826 -1.304
Ge 1.371 -8.744 -2.459
```

***

[10]
Material: ZnGeTeO
Method: DFT, GGA-PBE
State: optimized geometry

Values from the calculation:
calculated total energy: -3.96 eV/atom
distance to the lowest polymorph of the same formula: 210.0 meV per atom

```
8
Lattice="-1.987 1.505 -3.063 2.898 -1.128 -2.434 -5.288 -10.187 -1.574" Properties=species:S:1:pos:R:3 pbc="T T T"
Ge -2.882 -5.895 -2.299
Ge -1.496 -3.915 -4.771
Te -3.775 -8.306 -5.449
Te -0.602 -1.504 -1.621
O -2.298 -5.460 -5.010
O -2.080 -4.350 -2.061
Zn 1.677 -0.470 -2.591
Zn -0.766 0.846 -2.906
```

***

[11]
Material: ZnGeTeO
Method: DFT, GGA-PBE
State: optimized geometry

Values from the calculation:
calculated total energy: -4.04 eV/atom
distance to the lowest polymorph of the same formula: 124.4 meV per atom

```
16
Lattice="-6.986 1.152 -1.855 1.223 -3.442 -6.745 -1.856 -6.477 2.969" Properties=species:S:1:pos:R:3 pbc="T T T"
Te 0.742 -3.937 -5.597
Te -4.429 -7.099 -2.525
Te -4.454 -3.962 0.231
Te -7.097 -2.537 -3.371
Ge -6.313 -6.209 -0.368
Ge -5.496 -4.415 -5.076
Ge -1.254 -0.947 -1.714
Ge -2.175 -5.964 -4.104
O -2.802 -4.316 -4.381
O -6.640 -5.771 -5.268
O -1.776 -6.603 0.400
O -4.020 -0.845 -2.012
Zn -6.461 -7.305 -4.169
Zn -2.034 -4.845 -0.260
Zn -5.080 -2.386 -1.702
Zn -1.662 -2.999 -5.131
```

***

[12]
Material: ZnGeTeO
Method: DFT, GGA-PBE
State: optimized geometry

Values from the calculation:
calculated total energy: -4.13 eV/atom
distance to the lowest polymorph of the same formula: 35.5 meV per atom

```
16
Lattice="7.627 0.000 0.000 0.000 7.459 0.000 0.000 0.000 6.154" Properties=species:S:1:pos:R:3 pbc="T T T"
Te 7.151 2.645 3.883
Te 3.337 4.814 3.883
Te 0.477 4.814 0.806
Te 4.290 2.645 0.806
Ge 0.908 0.513 2.571
Ge 4.722 6.946 2.571
Ge 2.905 0.513 5.648
Ge 6.719 6.946 5.648
Zn 4.528 2.503 3.433
Zn 0.715 4.956 3.433
Zn 3.099 4.956 0.356
Zn 6.913 2.503 0.356
O 0.145 6.777 3.960
O 3.668 6.777 0.883
O 7.482 0.682 0.883
O 3.959 0.682 3.960
```

***

no.,ρ (g/cm³)
1,7.700
2,6.853
3,8.904
4,6.334
5,6.434
6,7.239
7,5.738
8,5.496
9,5.860
10,5.178
11,4.525
12,5.343